BaAs2SeF PBE-GGA optimized geometry; uncorrected formation energy = 0.675 eV/atom; space group = No. 123; total DFT energy (no corrections) = -13.202 eV for the cell shown; magnetization = 3.6 μB per formula unit; DOS at the Fermi energy = 22.53 states/eV per cell; density = 2.31 Mg/m³
1.0
6.629 0.000 0.000
0.000 6.629 0.000
0.000 0.000 6.292
Ba As Se F
1 2 1 1
direct
0.000 0.000 0.000
0.000 0.500 0.000
0.500 0.000 0.000
0.000 0.000 0.500
0.500 0.500 0.500